Below is a relaxed structure of Ba3TbTi2O9, with properties calculated at the GGA-PBE level.

The space group is P-3m1 (No. 164) and the conventional cell measures 5.9016, 5.9016 and 7.2927 Å, with angles of 90.00, 90.00 and 120.00 degrees. The distinct sites, in fractional coordinates, are Ba at (0.0000, 0.0000, 0.0000), Ba at (0.3333, 0.6667, 0.6832), Tb at (0.0000, 0.0000, 0.5000), Ti at (0.3333, 0.6667, 0.1719), O at (0.0000, 0.5000, 0.0000) and O at (0.1769, 0.3537, 0.3152).

Its final energy is -115.37 eV for the cell shown.



Below is a relaxed structure of Ba2TbTlO6, with properties calculated at the GGA-PBE level.

The space group is I4/mmm (No. 139) and the conventional cell measures 6.207, 6.207 and 8.798 Å, with angles of 90.00, 90.00 and 90.00 degrees. The distinct sites, in fractional coordinates, are Ba at (0.000, 0.500, 0.250), Tb at (0.000, 0.000, 0.000), Tl at (0.000, 0.000, 0.500), O at (0.000, 0.000, 0.251) and O at (0.249, 0.249, 0.500).

Its final energy is -120.92 eV for the cell shown.



Below is a relaxed structure of BaTb4Tl3O12, with properties calculated at the GGA-PBE level.

The space group is Im-3 (No. 204) and the conventional cell measures 8.559, 8.559 and 8.559 Å, with angles of 90.00, 90.00 and 90.00 degrees. The distinct sites, in fractional coordinates, are Ba at (0.000, 0.000, 0.000), Tb at (0.250, 0.250, 0.250), Tl at (0.000, 0.000, 0.500) and O at (0.000, 0.172, 0.308).

Its final energy is -262.71 eV for the cell shown.



Below is a relaxed structure of Ba2TbTlO5, with properties calculated at the GGA-PBE level.

The space group is Cmc2_1 (No. 36) and the conventional cell measures 3.637, 15.017 and 11.642 Å, with angles of 90.00, 90.00 and 90.00 degrees. The distinct sites, in fractional coordinates, are Ba at (0.000, 0.111, 0.000), Ba at (0.000, 0.139, 0.595), Tb at (0.000, 0.218, 0.315), Tl at (0.000, 0.478, 0.769), O at (0.000, 0.061, 0.363), O at (0.000, 0.280, 0.944), O at (0.000, 0.310, 0.691), O at (0.000, 0.367, 0.307) and O at (0.000, 0.494, 0.088).

Its final energy is -225.45 eV for the cell shown.



Below is a relaxed structure of Ba2TbTmO5, with properties calculated at the GGA-PBE level.

The space group is Cmc2_1 (No. 36) and the conventional cell measures 3.690, 14.350 and 12.357 Å, with angles of 90.00, 90.00 and 90.00 degrees. The distinct sites, in fractional coordinates, are Ba at (0.000, 0.089, 0.000), Ba at (0.000, 0.152, 0.623), Tb at (0.000, 0.223, 0.351), Tm at (0.000, 0.469, 0.777), O at (0.000, 0.059, 0.360), O at (0.000, 0.271, 0.976), O at (0.000, 0.311, 0.741), O at (0.000, 0.379, 0.325) and O at (0.000, 0.492, 0.112).

Its final energy is -261.53 eV for the cell shown.



Below is a relaxed structure of Ba2Tb3TmO8, with properties calculated at the GGA-PBE level.

The space group is R3m (No. 160, hexagonal axes) and the conventional cell measures 7.0292, 7.0292 and 17.9892 Å, with angles of 90.00, 90.00 and 120.00 degrees. The distinct sites, in fractional coordinates, are Ba at (0.0000, 0.0000, 0.0000), Ba at (0.0000, 0.0000, 0.3796), Tb at (0.0081, 0.5040, 0.8784), Tm at (0.0000, 0.0000, 0.7599), O at (0.0000, 0.0000, 0.1472), O at (0.0000, 0.0000, 0.6243), O at (0.1705, 0.3410, 0.4723) and O at (0.1873, 0.3746, 0.9423).

Its final energy is -317.93 eV for the cell shown.



Below is a relaxed structure of Ba3TbU2O9, with properties calculated at the GGA-PBE level.

The space group is P-3m1 (No. 164) and the conventional cell measures 6.2639, 6.2639 and 7.6810 Å, with angles of 90.00, 90.00 and 120.00 degrees. The distinct sites, in fractional coordinates, are Ba at (0.0000, 0.0000, 0.0000), Ba at (0.3333, 0.6667, 0.6587), Tb at (0.0000, 0.0000, 0.5000), U at (0.3333, 0.6667, 0.1681), O at (0.0000, 0.5000, 0.0000) and O at (0.1704, 0.3408, 0.3296).

Its final energy is -124.96 eV for the cell shown.



Below is a relaxed structure of Ba4TbU3O12, with properties calculated at the GGA-PBE level.

The space group is Im-3m (No. 229) and the conventional cell measures 8.880, 8.880 and 8.880 Å, with angles of 90.00, 90.00 and 90.00 degrees. The distinct sites, in fractional coordinates, are Ba at (0.250, 0.250, 0.250), Tb at (0.000, 0.000, 0.000), U at (0.000, 0.000, 0.500), O at (0.000, 0.000, 0.256) and O at (0.000, 0.250, 0.500).

Its final energy is -336.49 eV for the cell shown.